Density functional theory data (PBE) for a relaxed structure of Li2Pm3Bi3.

## Properties
V   217.72 Å³/f.u.
Calculated formation energy   -0.718 eV per atom

Unit cell a=4.547 b=6.462 c=15.833 alpha=90.00 beta=90.00 gamma=110.60
Atoms (fractional coordinates):
Li  0.771  0.541  0.902
Li  0.229  0.459  0.402
Li  0.771  0.541  0.598
Li  0.229  0.459  0.098
Pm  0.931  0.861  0.392
Pm  0.069  0.139  0.892
Pm  0.931  0.861  0.108
Pm  0.069  0.139  0.608
Pm  0.641  0.281  0.250
Pm  0.359  0.719  0.750
Bi  0.628  0.255  0.451
Bi  0.372  0.745  0.951
Bi  0.628  0.255  0.049
Bi  0.372  0.745  0.549
Bi  0.355  0.709  0.250
Bi  0.645  0.291  0.750